# NaGeO2 | the Alexandria database | GGA-PBE | relaxed
data_NaGeO2
_chemical_formula_sum 'Na2 Ge2 O4'
_cell_length_a 5.871
_cell_length_b 5.871
_cell_length_c 5.871
_cell_angle_alpha 127.96
_cell_angle_beta 127.96
_cell_angle_gamma 76.68
_space_group_name_H-M_alt 'P 1'
_space_group_IT_number 1
_space_group_name_Hall 'P 1'
loop_
_atom_site_label
_atom_site_fract_x
_atom_site_fract_y
_atom_site_fract_z
Na1 0.000 0.000 0.000
Na2 0.750 0.250 0.500
Ge1 0.250 0.750 0.500
Ge2 0.500 0.500 0.000
O1 0.202 0.625 0.077
O2 0.375 0.452 0.577
O3 0.548 0.125 0.923
O4 0.875 0.798 0.423
# ΔE_f (raw) = -1382 meV/atom
# density of states at the Fermi level = 0.108 states/eV per cell
# crystal system = tetragonal
# magnetization = 0.000 μB/atom

# Na2Ge2O5 | the Alexandria database | GGA-PBE | relaxed
data_Na2Ge2O5
_chemical_formula_sum 'Na8 Ge8 O20'
_cell_length_a 9.883
_cell_length_b 5.745
_cell_length_c 8.762
_cell_angle_alpha 90.00
_cell_angle_beta 90.00
_cell_angle_gamma 90.00
_space_group_name_H-M_alt 'P 1'
_space_group_IT_number 1
_space_group_name_Hall 'P 1'
loop_
_atom_site_label
_atom_site_fract_x
_atom_site_fract_y
_atom_site_fract_z
Na1 0.008 0.049 0.000
Na2 0.244 0.925 0.232
Na3 0.256 0.925 0.732
Na4 0.492 0.049 0.500
Na5 0.508 0.951 0.000
Na6 0.744 0.075 0.232
Na7 0.756 0.075 0.732
Na8 0.992 0.951 0.500
Ge1 0.038 0.455 0.735
Ge2 0.206 0.382 0.435
Ge3 0.294 0.382 0.935
Ge4 0.462 0.455 0.235
Ge5 0.538 0.545 0.735
Ge6 0.706 0.618 0.435
Ge7 0.794 0.618 0.935
Ge8 0.962 0.545 0.235
O1 0.002 0.163 0.736
O2 0.103 0.357 0.263
O3 0.114 0.571 0.563
O4 0.156 0.564 0.878
O5 0.243 0.101 0.487
O6 0.257 0.101 0.987
O7 0.344 0.564 0.378
O8 0.386 0.571 0.063
O9 0.397 0.357 0.763
O10 0.498 0.163 0.236
O11 0.502 0.837 0.736
O12 0.603 0.643 0.263
O13 0.614 0.429 0.563
O14 0.656 0.436 0.878
O15 0.743 0.899 0.487
O16 0.757 0.899 0.987
O17 0.844 0.436 0.378
O18 0.886 0.429 0.063
O19 0.897 0.643 0.763
O20 0.998 0.837 0.236
# ΔE_f (raw) = -1742 meV/atom
# density of states at the Fermi level = 0.000 states/eV per cell
# crystal system = orthorhombic
# magnetization = 0.000 μB/atom
# relative energy among the computed polymorphs = 0.160 kcal/mol of atoms

# Na2GeO | the Alexandria database | GGA-PBE | relaxed
data_Na2GeO
_chemical_formula_sum 'Na4 Ge2 O2'
_cell_length_a 6.472
_cell_length_b 6.472
_cell_length_c 6.472
_cell_angle_alpha 96.61
_cell_angle_beta 96.61
_cell_angle_gamma 140.35
_space_group_name_H-M_alt 'P 1'
_space_group_IT_number 1
_space_group_name_Hall 'P 1'
loop_
_atom_site_label
_atom_site_fract_x
_atom_site_fract_y
_atom_site_fract_z
Na1 0.375 0.025 0.150
Na2 0.775 0.625 0.650
Na3 0.875 0.225 0.850
Na4 0.975 0.125 0.350
Ge1 0.250 0.750 0.500
Ge2 0.500 0.500 0.000
O1 0.000 0.000 0.000
O2 0.750 0.250 0.500
# ΔE_f (raw) = -479 meV/atom
# density of states at the Fermi level = 2.762 states/eV per cell
# crystal system = tetragonal
# magnetization = 0.000 μB/atom
# relative energy among the computed polymorphs = 0.000 kcal/mol of atoms

# NaGeO2 | the Alexandria database | GGA-PBE | relaxed
data_NaGeO2
_chemical_formula_sum 'Na1 Ge1 O2'
_cell_length_a 6.778
_cell_length_b 6.778
_cell_length_c 6.778
_cell_angle_alpha 26.36
_cell_angle_beta 26.36
_cell_angle_gamma 26.36
_space_group_name_H-M_alt 'P 1'
_space_group_IT_number 1
_space_group_name_Hall 'P 1'
loop_
_atom_site_label
_atom_site_fract_x
_atom_site_fract_y
_atom_site_fract_z
Na1 0.000 0.000 0.000
Ge1 0.500 0.500 0.500
O1 0.116 0.116 0.116
O2 0.884 0.884 0.884
# ΔE_f (raw) = -1054 meV/atom
# density of states at the Fermi level = 2.717 states/eV per cell
# crystal system = trigonal
# magnetization = 0.000 μB/atom

# Na8GeO6 | the Alexandria database | GGA-PBE | relaxed
data_Na8GeO6
_chemical_formula_sum 'Na16 Ge2 O12'
_cell_length_a 7.148
_cell_length_b 6.545
_cell_length_c 9.057
_cell_angle_alpha 90.00
_cell_angle_beta 90.00
_cell_angle_gamma 90.00
_space_group_name_H-M_alt 'P 1'
_space_group_IT_number 1
_space_group_name_Hall 'P 1'
loop_
_atom_site_label
_atom_site_fract_x
_atom_site_fract_y
_atom_site_fract_z
Na1 0.000 0.155 0.000
Na2 0.000 0.206 0.527
Na3 0.174 0.539 0.182
Na4 0.180 0.666 0.873
Na5 0.196 0.960 0.240
Na6 0.304 0.040 0.740
Na7 0.320 0.334 0.373
Na8 0.326 0.461 0.682
Na9 0.500 0.794 0.027
Na10 0.500 0.845 0.500
Na11 0.674 0.461 0.682
Na12 0.680 0.334 0.373
Na13 0.696 0.040 0.740
Na14 0.804 0.960 0.240
Na15 0.820 0.666 0.873
Na16 0.826 0.539 0.182
Ge1 0.000 0.709 0.541
Ge2 0.500 0.291 0.041
O1 0.000 0.248 0.277
O2 0.000 0.497 0.669
O3 0.000 0.787 0.063
O4 0.000 0.924 0.667
O5 0.208 0.698 0.431
O6 0.292 0.302 0.931
O7 0.500 0.076 0.167
O8 0.500 0.213 0.563
O9 0.500 0.503 0.169
O10 0.500 0.752 0.777
O11 0.708 0.302 0.931
O12 0.792 0.698 0.431
# ΔE_f (raw) = -1421 meV/atom
# density of states at the Fermi level = 0.000 states/eV per cell
# crystal system = orthorhombic
# magnetization = 0.006 μB/atom

# Na4GeO4 | the Alexandria database | GGA-PBE | relaxed
data_Na4GeO4
_chemical_formula_sum 'Na8 Ge2 O8'
_cell_length_a 5.746
_cell_length_b 5.765
_cell_length_c 8.699
_cell_angle_alpha 81.61
_cell_angle_beta 71.37
_cell_angle_gamma 68.24
_space_group_name_H-M_alt 'P 1'
_space_group_IT_number 1
_space_group_name_Hall 'P 1'
loop_
_atom_site_label
_atom_site_fract_x
_atom_site_fract_y
_atom_site_fract_z
Na1 0.020 0.264 0.435
Na2 0.109 0.727 0.180
Na3 0.259 0.243 0.012
Na4 0.447 0.242 0.602
Na5 0.553 0.758 0.398
Na6 0.741 0.757 0.988
Na7 0.891 0.273 0.820
Na8 0.980 0.736 0.565
Ge1 0.343 0.722 0.756
Ge2 0.657 0.278 0.244
O1 0.141 0.531 0.806
O2 0.204 0.973 0.626
O3 0.337 0.468 0.360
O4 0.352 0.845 0.929
O5 0.648 0.155 0.071
O6 0.663 0.532 0.640
O7 0.796 0.027 0.374
O8 0.859 0.469 0.194
# ΔE_f (raw) = -1708 meV/atom
# density of states at the Fermi level = 0.000 states/eV per cell
# crystal system = triclinic
# magnetization = 0.000 μB/atom

# Na2Ge2O5 | the Alexandria database | GGA-PBE | relaxed
data_Na2Ge2O5
_chemical_formula_sum 'Na8 Ge8 O20'
_cell_length_a 8.537
_cell_length_b 12.438
_cell_length_c 5.014
_cell_angle_alpha 90.00
_cell_angle_beta 90.00
_cell_angle_gamma 90.00
_space_group_name_H-M_alt 'P 1'
_space_group_IT_number 1
_space_group_name_Hall 'P 1'
loop_
_atom_site_label
_atom_site_fract_x
_atom_site_fract_y
_atom_site_fract_z
Na1 0.069 0.228 0.000
Na2 0.185 0.694 0.967
Na3 0.315 0.194 0.467
Na4 0.431 0.728 0.500
Na5 0.569 0.272 0.000
Na6 0.685 0.806 0.967
Na7 0.815 0.306 0.467
Na8 0.931 0.772 0.500
Ge1 0.049 0.929 0.046
Ge2 0.110 0.526 0.426
Ge3 0.390 0.026 0.926
Ge4 0.451 0.429 0.546
Ge5 0.549 0.571 0.046
Ge6 0.610 0.974 0.426
Ge7 0.890 0.474 0.926
Ge8 0.951 0.071 0.546
O1 0.027 0.951 0.401
O2 0.038 0.192 0.474
O3 0.071 0.518 0.072
O4 0.165 0.657 0.495
O5 0.244 0.418 0.487
O6 0.256 0.918 0.987
O7 0.335 0.157 0.995
O8 0.429 0.018 0.572
O9 0.462 0.692 0.974
O10 0.473 0.451 0.901
O11 0.527 0.549 0.401
O12 0.538 0.308 0.474
O13 0.571 0.982 0.072
O14 0.665 0.843 0.495
O15 0.744 0.082 0.487
O16 0.756 0.582 0.987
O17 0.835 0.343 0.995
O18 0.929 0.482 0.572
O19 0.962 0.808 0.974
O20 0.973 0.049 0.901
# ΔE_f (raw) = -1749 meV/atom
# density of states at the Fermi level = 0.000 states/eV per cell
# crystal system = orthorhombic
# magnetization = 0.000 μB/atom
# relative energy among the computed polymorphs = 0.000 kcal/mol of atoms

# Na2Ge2O5 | the Alexandria database | GGA-PBE | relaxed
data_Na2Ge2O5
_chemical_formula_sum 'Na8 Ge8 O20'
_cell_length_a 5.035
_cell_length_b 12.517
_cell_length_c 10.041
_cell_angle_alpha 90.00
_cell_angle_beta 119.39
_cell_angle_gamma 90.00
_space_group_name_H-M_alt 'P 1'
_space_group_IT_number 1
_space_group_name_Hall 'P 1'
loop_
_atom_site_label
_atom_site_fract_x
_atom_site_fract_y
_atom_site_fract_z
Na1 0.107 0.001 0.367
Na2 0.107 0.499 0.867
Na3 0.386 0.043 0.116
Na4 0.386 0.457 0.616
Na5 0.614 0.543 0.384
Na6 0.614 0.957 0.884
Na7 0.893 0.501 0.133
Na8 0.893 0.999 0.633
Ge1 0.148 0.701 0.453
Ge2 0.148 0.799 0.953
Ge3 0.476 0.176 0.675
Ge4 0.476 0.324 0.175
Ge5 0.524 0.676 0.825
Ge6 0.524 0.824 0.325
Ge7 0.852 0.201 0.047
Ge8 0.852 0.299 0.547
O1 0.147 0.571 0.393
O2 0.147 0.929 0.893
O3 0.193 0.691 0.849
O4 0.193 0.809 0.349
O5 0.210 0.226 0.052
O6 0.210 0.274 0.552
O7 0.375 0.043 0.640
O8 0.375 0.457 0.140
O9 0.438 0.728 0.644
O10 0.438 0.772 0.144
O11 0.562 0.228 0.856
O12 0.562 0.272 0.356
O13 0.625 0.543 0.860
O14 0.625 0.957 0.360
O15 0.790 0.726 0.448
O16 0.790 0.774 0.948
O17 0.807 0.191 0.651
O18 0.807 0.309 0.151
O19 0.853 0.071 0.107
O20 0.853 0.429 0.607
# ΔE_f (raw) = -1740 meV/atom
# density of states at the Fermi level = 0.000 states/eV per cell
# crystal system = monoclinic
# magnetization = 0.000 μB/atom
# relative energy among the computed polymorphs = 0.210 kcal/mol of atoms

It is found that the volume values, taken in the order of the records, are 61 124 81 54 212 127 133 138 Å³/f.u..